*A*
A relaxed Mg2Zn2Se crystal. Source: the Alexandria database, functional GGA-PBE.

Cell: 7.3929 7.3929 7.3929 Å, 133.45 119.57 79.57°
With the nearest neighbours (Å) after each atom.
Fractional coordinates of all 10 atoms:
Mg 0.9216 0.1375 0.2159  2 Se 2.65, 2 Zn 2.73-2.83
Mg 0.0784 0.8625 0.7841  2 Se 2.65, 2 Zn 2.73-2.83
Mg 0.5784 0.2943 0.7159  2 Se 2.65, 2 Zn 2.73-2.83
Mg 0.4216 0.7057 0.2841  2 Se 2.65, 2 Zn 2.73-2.83
Zn 0.6836 0.9607 0.2771  3 Mg 2.73-2.98
Zn 0.3164 0.0393 0.7229  3 Mg 2.73-2.98
Zn 0.8164 0.5935 0.7771  3 Mg 2.73-2.98
Zn 0.1836 0.4065 0.2229  3 Mg 2.73-2.98
Se 0.2500 0.5000 0.7500  4 Mg 2.65
Se 0.7500 0.5000 0.2500  4 Mg 2.65

density of states at the Fermi level	0.28	states/eV per atom
symmetry	No. 72

*B*
A relaxed Mg2Zn2Se crystal. Source: the Alexandria database, functional GGA-PBE.

Cell: 5.4611 5.4611 7.8246 Å, 90.00 90.00 103.38°
With the nearest neighbours (Å) after each atom.
Fractional coordinates of all 10 atoms:
Mg 0.7930 0.2070 0.0000  2 Se 2.71, 4 Zn 2.81-3.01
Mg 0.2070 0.7930 0.5000  2 Se 2.71, 4 Zn 2.81-3.01
Mg 0.2070 0.7930 0.0000  2 Se 2.71, 4 Zn 2.81-3.01
Mg 0.7930 0.2070 0.5000  2 Se 2.71, 4 Zn 2.81-3.01
Zn 0.3441 0.3441 0.5885  2 Zn 2.53, 2 Mg 2.81
Zn 0.6559 0.6559 0.0885  2 Zn 2.53, 2 Mg 2.81
Zn 0.3441 0.3441 0.9115  2 Zn 2.53, 2 Mg 2.81
Zn 0.6559 0.6559 0.4115  2 Zn 2.53, 2 Mg 2.81
Se 0.0871 0.0871 0.2500  4 Mg 2.71
Se 0.9129 0.9129 0.7500  4 Mg 2.71

density of states at the Fermi level	0.26	states/eV per atom
symmetry	No. 63

The most stable of them is *B*.

*A*
A relaxed MgZn2Se3 crystal. Source: the Alexandria database, functional GGA-PBE.

Cell: 3.7980 3.7980 19.3775 Å, 90.00 90.00 120.00°
With the nearest neighbours (Å) after each atom.
Fractional coordinates of all 12 atoms:
Zn 0.6667 0.3333 0.5803  6 Se 2.68-2.69
Zn 0.3333 0.6667 0.0803  6 Se 2.68-2.69
Zn 0.3333 0.6667 0.4197  6 Se 2.68-2.69
Zn 0.6667 0.3333 0.9197  6 Se 2.68-2.69
Mg 0.0000 0.0000 0.2500  6 Se 2.80
Mg 0.0000 0.0000 0.7500  6 Se 2.80
Se 0.6667 0.3333 0.1599  3 Zn 2.68, 3 Mg 2.80
Se 0.3333 0.6667 0.6599  3 Zn 2.68, 3 Mg 2.80
Se 0.3333 0.6667 0.8401  3 Zn 2.68, 3 Mg 2.80
Se 0.6667 0.3333 0.3401  3 Zn 2.68, 3 Mg 2.80
Se 0.0000 0.0000 0.0000  6 Zn 2.69
Se 0.0000 0.0000 0.5000  6 Zn 2.69

density of states at the Fermi level	0.32	states/eV per atom
symmetry	No. 194

*B*
A relaxed MgZn2Se3 crystal. Source: the Alexandria database, functional GGA-PBE.

Cell: 6.6917 6.6917 6.6208 Å, 90.00 90.00 114.32°
With the nearest neighbours (Å) after each atom.
Fractional coordinates of all 12 atoms:
Zn 0.8214 0.1786 0.0000  4 Se 2.55-2.69
Zn 0.1786 0.8214 0.5000  4 Se 2.55-2.69
Zn 0.1786 0.8214 0.0000  4 Se 2.55-2.69
Zn 0.8214 0.1786 0.5000  4 Se 2.55-2.69
Mg 0.4395 0.4395 0.7500  3 Se 2.50-2.54
Mg 0.5605 0.5605 0.2500  3 Se 2.50-2.54
Se 0.0957 0.0957 0.7500  1 Mg 2.50, 4 Zn 2.69
Se 0.9043 0.9043 0.2500  1 Mg 2.50, 4 Zn 2.69
Se 0.8324 0.4738 0.7500  1 Mg 2.54, 2 Zn 2.55
Se 0.1676 0.5262 0.2500  1 Mg 2.54, 2 Zn 2.55
Se 0.4738 0.8324 0.7500  1 Mg 2.54, 2 Zn 2.55
Se 0.5262 0.1676 0.2500  1 Mg 2.54, 2 Zn 2.55

density of states at the Fermi level	0.07	states/eV per atom
symmetry	No. 63

The most stable of them is *A*.

*A*
A relaxed MgZn2Se3 crystal. Source: the Alexandria database, functional GGA-PBE.

Cell: 8.2637 8.2637 5.9668 Å, 90.00 90.00 108.82°
With the nearest neighbours (Å) after each atom.
Fractional coordinates of all 12 atoms:
Zn 0.2071 0.2071 0.0000  2 Se 2.40
Zn 0.7929 0.7929 0.5000  2 Se 2.40
Zn 0.7929 0.7929 0.0000  2 Se 2.40
Zn 0.2071 0.2071 0.5000  2 Se 2.40
Mg 0.1228 0.8772 0.7500  3 Se 2.60-2.87
Mg 0.8772 0.1228 0.2500  3 Se 2.60-2.87
Se 0.4023 0.1386 0.7500  2 Zn 2.40, 1 Mg 2.60
Se 0.5977 0.8614 0.2500  2 Zn 2.40, 1 Mg 2.60
Se 0.8614 0.5977 0.7500  2 Zn 2.40, 1 Mg 2.60
Se 0.1386 0.4023 0.2500  2 Zn 2.40, 1 Mg 2.60
Se 0.9092 0.0908 0.7500  4 Zn 2.77, 3 Mg 2.87-3.01
Se 0.0908 0.9092 0.2500  4 Zn 2.77, 3 Mg 2.87-3.01

density of states at the Fermi level	0.00	states/eV per atom
symmetry	No. 63

*B*
A relaxed MgZn2Se3 crystal. Source: the Alexandria database, functional GGA-PBE.

Cell: 7.1419 7.1419 7.1217 Å, 99.53 99.53 120.11°
With the nearest neighbours (Å) after each atom.
Fractional coordinates of all 12 atoms:
Mg 0.0986 0.9272 0.5077  4 Se 2.58-2.59
Mg 0.9272 0.0986 0.0077  4 Se 2.58-2.59
Zn 0.5937 0.4285 0.0074  4 Se 2.48-2.49
Zn 0.7601 0.2645 0.5074  4 Se 2.48-2.50
Zn 0.4285 0.5937 0.5074  4 Se 2.48-2.49
Zn 0.2645 0.7601 0.0074  4 Se 2.48-2.50
Se 0.0542 0.2308 0.3910  2 Zn 2.48, 2 Mg 2.58-2.59
Se 0.2308 0.0542 0.8910  2 Zn 2.48, 2 Mg 2.58-2.59
Se 0.8846 0.3976 0.8791  3 Zn 2.49-2.50, 1 Mg 2.59
Se 0.3976 0.8846 0.3791  3 Zn 2.49-2.50, 1 Mg 2.59
Se 0.5449 0.7103 0.8786  3 Zn 2.49, 1 Mg 2.59
Se 0.7103 0.5449 0.3786  3 Zn 2.49, 1 Mg 2.59

density of states at the Fermi level	0.00	states/eV per atom
symmetry	No. 9

The most stable of them is *B*.